Entry from Alexandria via LeMat-Bulk: Ag3BS4 after structural relaxation (PBE).

Lattice parameters (Å, degrees): 7.380 6.474 6.603 90.00 90.00 90.00
Space group Pmn2_1 (No. 31)
Symmetry-distinct sites (fractional):
1 Ag 0.000 0.106 0.000 (multiplicity 2)
2 Ag 0.238 0.685 0.007 (multiplicity 4)
3 B 0.000 0.820 0.474 (multiplicity 2)
4 S 0.000 0.100 0.380 (multiplicity 2)
5 S 0.000 0.804 0.763 (multiplicity 2)
6 S 0.218 0.686 0.384 (multiplicity 4)

Output
- Crystal system: orthorhombic
- D(E_F): 0.753 states/eV per atom
- Total magnetization: 0.000 μB per atom
- Raw formation energy: -0.078 eV/atom

Entry from Alexandria via LeMat-Bulk: AgBS after structural relaxation (PBE).

Lattice parameters (Å, degrees): 6.339 11.972 12.133 90.00 90.00 90.00
Space group Fmmm (No. 69)
Symmetry-distinct sites (fractional):
1 Ag 0.000 0.115 0.114 (multiplicity 16)
2 B 0.000 0.000 0.437 (multiplicity 8)
3 B 0.000 0.121 0.500 (multiplicity 8)
4 S 0.000 0.161 0.357 (multiplicity 16)

Output
- Crystal system: orthorhombic
- D(E_F): 0.098 states/eV per atom
- Total magnetization: 0.000 μB per atom
- Raw formation energy: 0.434 eV/atom

Entry from Alexandria via LeMat-Bulk: AgB3S after structural relaxation (PBE).

Lattice parameters (Å, degrees): 3.876 3.876 3.876 90.00 90.00 90.00
Space group Pm-3m (No. 221)
Symmetry-distinct sites (fractional):
1 Ag 0.000 0.000 0.000 (multiplicity 1)
2 B 0.000 0.500 0.500 (multiplicity 3)
3 S 0.500 0.500 0.500 (multiplicity 1)

Output
- Crystal system: cubic
- D(E_F): 0.380 states/eV per atom
- Total magnetization: 0.000 μB per atom
- Raw formation energy: 1.688 eV/atom

Entry from Alexandria via LeMat-Bulk: Ag2BS after structural relaxation (PBE).

Lattice parameters (Å, degrees): 4.573 4.573 13.888 90.00 90.00 90.00
Space group I-42d (No. 122)
Symmetry-distinct sites (fractional):
1 Ag 0.188 0.250 0.125 (multiplicity 8)
2 B 0.000 0.000 0.000 (multiplicity 4)
3 S 0.000 0.000 0.500 (multiplicity 4)

Output
- Crystal system: tetragonal
- D(E_F): 0.257 states/eV per atom
- Total magnetization: 0.000 μB per atom
- Raw formation energy: 0.769 eV/atom

Entry from Alexandria via LeMat-Bulk: Ag2BS3 after structural relaxation (PBE).

Lattice parameters (Å, degrees): 5.396 13.066 6.644 90.00 105.45 90.00
Space group C2/m (No. 12)
Symmetry-distinct sites (fractional):
1 Ag 0.000 0.000 0.000 (multiplicity 2)
2 Ag 0.000 0.208 0.500 (multiplicity 4)
3 Ag 0.000 0.500 0.500 (multiplicity 2)
4 B 0.000 0.253 0.000 (multiplicity 4)
5 S 0.145 0.000 0.648 (multiplicity 4)
6 S 0.203 0.323 0.838 (multiplicity 8)

Output
- Crystal system: monoclinic
- Total magnetization: 0.000 μB per atom
- Raw formation energy: -0.073 eV/atom

Entry from Alexandria via LeMat-Bulk: Ag3B2S4 after structural relaxation (PBE).

Lattice parameters (Å, degrees): 16.144 7.480 5.602 90.00 103.74 90.00
Space group C2/c (No. 15)
Symmetry-distinct sites (fractional):
1 Ag 0.000 0.072 0.250 (multiplicity 4)
2 Ag 0.071 0.409 0.462 (multiplicity 8)
3 B 0.200 0.113 0.033 (multiplicity 8)
4 S 0.157 0.090 0.328 (multiplicity 8)
5 S 0.178 0.347 0.894 (multiplicity 8)

Output
- Crystal system: monoclinic
- D(E_F): 0.094 states/eV per atom
- Total magnetization: 0.000 μB per atom
- Raw formation energy: -0.155 eV/atom

Entry from Alexandria via LeMat-Bulk: Ag2BS after structural relaxation (PBE).

Lattice parameters (Å, degrees): 6.314 6.314 6.314 90.00 90.00 90.00
Space group Fm-3m (No. 225)
Symmetry-distinct sites (fractional):
1 Ag 0.250 0.250 0.250 (multiplicity 8)
2 B 0.000 0.000 0.000 (multiplicity 4)
3 S 0.000 0.000 0.500 (multiplicity 4)

Output
- Crystal system: cubic
- D(E_F): 0.252 states/eV per atom
- Total magnetization: 0.000 μB per atom
- Raw formation energy: 0.910 eV/atom

Entry from Alexandria via LeMat-Bulk: AgBS2 after structural relaxation (PBE).

Lattice parameters (Å, degrees): 4.366 4.920 7.495 90.00 99.73 90.00
Space group P2_1 (No. 4)
Symmetry-distinct sites (fractional):
1 Ag 0.196 0.000 0.122 (multiplicity 2)
2 B 0.096 0.117 0.614 (multiplicity 2)
3 S 0.153 0.311 0.407 (multiplicity 2)
4 S 0.281 0.229 0.832 (multiplicity 2)

Output
- Crystal system: monoclinic
- D(E_F): 0.000 states/eV per atom
- Total magnetization: 0.000 μB per atom
- Raw formation energy: -0.216 eV/atom

Entry from Alexandria via LeMat-Bulk: AgBS2 after structural relaxation (PBE).

Lattice parameters (Å, degrees): 7.329 10.134 5.244 90.00 113.79 90.00
Space group C2/c (No. 15)
Symmetry-distinct sites (fractional):
1 Ag 0.000 0.082 0.250 (multiplicity 4)
2 B 0.000 0.498 0.250 (multiplicity 4)
3 S 0.143 0.397 0.583 (multiplicity 8)

Output
- Crystal system: monoclinic
- D(E_F): 0.000 states/eV per atom
- Total magnetization: 0.000 μB per atom
- Raw formation energy: -0.268 eV/atom

Entry from Alexandria via LeMat-Bulk: AgB3S after structural relaxation (PBE).

Lattice parameters (Å, degrees): 4.217 4.217 4.217 90.00 90.00 90.00
Space group Pm-3m (No. 221)
Symmetry-distinct sites (fractional):
1 Ag 0.000 0.000 0.000 (multiplicity 1)
2 B 0.000 0.000 0.500 (multiplicity 3)
3 S 0.500 0.500 0.500 (multiplicity 1)

Output
- Crystal system: cubic
- D(E_F): 0.114 states/eV per atom
- Total magnetization: 0.000 μB per atom
- Raw formation energy: 2.032 eV/atom

Entry from Alexandria via LeMat-Bulk: AgBSeS2 after structural relaxation (PBE).

Lattice parameters (Å, degrees): 4.906 4.906 4.105 90.00 90.00 90.00
Space group P4/mmm (No. 123)
Symmetry-distinct sites (fractional):
1 Ag 0.000 0.000 0.000 (multiplicity 1)
2 B 0.500 0.500 0.000 (multiplicity 1)
3 Se 0.500 0.500 0.500 (multiplicity 1)
4 S 0.000 0.500 0.500 (multiplicity 2)

Output
- Crystal system: tetragonal
- D(E_F): 0.505 states/eV per atom
- Total magnetization: 0.000 μB per atom
- Raw formation energy: 1.075 eV/atom

Entry from Alexandria via LeMat-Bulk: AgBSeS2 after structural relaxation (PBE).

Lattice parameters (Å, degrees): 4.118 4.118 4.909 90.00 90.00 90.00
Space group P4/mmm (No. 123)
Symmetry-distinct sites (fractional):
1 Ag 0.000 0.000 0.000 (multiplicity 1)
2 B 0.500 0.500 0.500 (multiplicity 1)
3 Se 0.500 0.500 0.000 (multiplicity 1)
4 S 0.000 0.500 0.500 (multiplicity 2)

Output
- Crystal system: tetragonal
- D(E_F): 0.889 states/eV per atom
- Total magnetization: 0.000 μB per atom
- Raw formation energy: 0.732 eV/atom

Entry from Alexandria via LeMat-Bulk: SrAg2BS4 after structural relaxation (PBE).

Lattice parameters (Å, degrees): 6.549 6.550 7.430 90.00 90.00 90.00
Space group I222 (No. 23)
Symmetry-distinct sites (fractional):
1 Sr 0.000 0.000 0.000 (multiplicity 2)
2 Ag 0.000 0.500 0.254 (multiplicity 4)
3 B 0.000 0.000 0.500 (multiplicity 2)
4 S 0.175 0.174 0.642 (multiplicity 8)

Output
- Crystal system: orthorhombic
- D(E_F): 0.341 states/eV per atom
- Total magnetization: 0.000 μB per atom
- Raw formation energy: -0.700 eV/atom

Entry from Alexandria via LeMat-Bulk: Ag2BTeS4 after structural relaxation (PBE).

Lattice parameters (Å, degrees): 5.703 5.864 6.185 109.07 112.12 100.91
Space group P1 (No. 1)
Symmetry-distinct sites (fractional):
1 Ag 0.000 0.000 0.000 (multiplicity 1)
2 Ag 0.315 0.652 0.537 (multiplicity 1)
3 B 0.804 0.296 0.581 (multiplicity 1)
4 Te 0.776 0.580 0.156 (multiplicity 1)
5 S 0.110 0.607 0.828 (multiplicity 1)
6 S 0.522 0.356 0.326 (multiplicity 1)
7 S 0.642 0.137 0.741 (multiplicity 1)
8 S 0.973 0.082 0.437 (multiplicity 1)

Output
- Crystal system: triclinic
- D(E_F): 0.534 states/eV per atom
- Total magnetization: 0.000 μB per atom
- Raw formation energy: -0.046 eV/atom

Entry from Alexandria via LeMat-Bulk: TlAgBS2 after structural relaxation (PBE).

Lattice parameters (Å, degrees): 6.015 11.364 7.100 90.00 90.00 90.00
Space group Cmme (No. 67)
Symmetry-distinct sites (fractional):
1 Tl 0.000 0.250 0.249 (multiplicity 4)
2 Ag 0.250 0.000 0.500 (multiplicity 4)
3 B 0.000 0.000 0.000 (multiplicity 4)
4 S 0.000 0.104 0.831 (multiplicity 8)

Output
- Crystal system: orthorhombic
- D(E_F): 0.265 states/eV per atom
- Total magnetization: 0.000 μB per atom
- Raw formation energy: 0.038 eV/atom

Entry from Alexandria via LeMat-Bulk: Tl2AgBS4 after structural relaxation (PBE).

Lattice parameters (Å, degrees): 6.566 6.566 8.310 90.00 90.00 90.00
Space group I-4 (No. 82)
Symmetry-distinct sites (fractional):
1 Tl 0.000 0.000 0.000 (multiplicity 2)
2 Tl 0.000 0.500 0.250 (multiplicity 2)
3 Ag 0.000 0.000 0.500 (multiplicity 2)
4 B 0.000 0.500 0.750 (multiplicity 2)
5 S 0.172 0.680 0.626 (multiplicity 8)

Output
- Crystal system: tetragonal
- D(E_F): 0.109 states/eV per atom
- Total magnetization: 0.000 μB per atom
- Raw formation energy: -0.244 eV/atom

Entry from Alexandria via LeMat-Bulk: ZnAgB2S after structural relaxation (PBE).

Lattice parameters (Å, degrees): 3.903 3.903 5.354 90.00 90.00 90.00
Space group P4/mmm (No. 123)
Symmetry-distinct sites (fractional):
1 Zn 0.000 0.000 0.000 (multiplicity 1)
2 Ag 0.000 0.000 0.500 (multiplicity 1)
3 B 0.000 0.500 0.000 (multiplicity 2)
4 S 0.500 0.500 0.500 (multiplicity 1)

Output
- Crystal system: tetragonal
- D(E_F): 0.471 states/eV per atom
- Total magnetization: 0.000 μB per atom
- Raw formation energy: 1.377 eV/atom

Entry from Alexandria via LeMat-Bulk: AgBSb3 after structural relaxation (PBE).

Lattice parameters (Å, degrees): 4.844 4.844 4.844 90.00 90.00 90.00
Space group Pm-3m (No. 221)
Symmetry-distinct sites (fractional):
1 Ag 0.000 0.000 0.000 (multiplicity 1)
2 B 0.500 0.500 0.500 (multiplicity 1)
3 Sb 0.000 0.500 0.500 (multiplicity 3)

Output
- Crystal system: cubic
- D(E_F): 0.687 states/eV per atom
- Total magnetization: 0.000 μB per atom
- Raw formation energy: 0.771 eV/atom

Entry from Alexandria via LeMat-Bulk: AgBSb3 after structural relaxation (PBE).

Lattice parameters (Å, degrees): 5.360 5.360 5.360 90.00 90.00 90.00
Space group Pm-3m (No. 221)
Symmetry-distinct sites (fractional):
1 Ag 0.000 0.000 0.000 (multiplicity 1)
2 B 0.500 0.500 0.500 (multiplicity 1)
3 Sb 0.000 0.000 0.500 (multiplicity 3)

Output
- Crystal system: cubic
- D(E_F): 0.674 states/eV per atom
- Total magnetization: 0.000 μB per atom
- Raw formation energy: 1.552 eV/atom

Entry from Alexandria via LeMat-Bulk: ScAg2BSb after structural relaxation (PBE).

Lattice parameters (Å, degrees): 4.297 4.297 5.268 90.00 90.00 90.00
Space group P4/mmm (No. 123)
Symmetry-distinct sites (fractional):
1 Sc 0.000 0.000 0.000 (multiplicity 1)
2 Ag 0.000 0.500 0.500 (multiplicity 2)
3 B 0.500 0.500 0.500 (multiplicity 1)
4 Sb 0.500 0.500 0.000 (multiplicity 1)

Output
- Crystal system: tetragonal
- D(E_F): 0.533 states/eV per atom
- Total magnetization: 0.000 μB per atom
- Raw formation energy: 0.238 eV/atom

Entry from Alexandria via LeMat-Bulk: AgSn2BSb after structural relaxation (PBE).

Lattice parameters (Å, degrees): 5.538 5.538 4.081 90.00 90.00 90.00
Space group P4/mmm (No. 123)
Symmetry-distinct sites (fractional):
1 Ag 0.000 0.000 0.000 (multiplicity 1)
2 Sn 0.000 0.500 0.000 (multiplicity 2)
3 B 0.000 0.000 0.500 (multiplicity 1)
4 Sb 0.500 0.500 0.500 (multiplicity 1)

Output
- Crystal system: tetragonal
- D(E_F): 0.448 states/eV per atom
- Total magnetization: 0.000 μB per atom
- Raw formation energy: 0.774 eV/atom

Entry from Alexandria via LeMat-Bulk: AgBSb2Te after structural relaxation (PBE).

Lattice parameters (Å, degrees): 5.327 5.327 5.523 90.00 90.00 90.00
Space group P4/mmm (No. 123)
Symmetry-distinct sites (fractional):
1 Ag 0.000 0.000 0.000 (multiplicity 1)
2 B 0.500 0.500 0.500 (multiplicity 1)
3 Sb 0.000 0.500 0.000 (multiplicity 2)
4 Te 0.000 0.000 0.500 (multiplicity 1)

Output
- Crystal system: tetragonal
- D(E_F): 0.719 states/eV per atom
- Total magnetization: 0.000 μB per atom
- Raw formation energy: 1.503 eV/atom

Entry from Alexandria via LeMat-Bulk: AgBSb2Te after structural relaxation (PBE).

Lattice parameters (Å, degrees): 4.870 4.870 4.869 90.00 90.00 90.00
Space group P4/mmm (No. 123)
Symmetry-distinct sites (fractional):
1 Ag 0.000 0.000 0.000 (multiplicity 1)
2 B 0.500 0.500 0.500 (multiplicity 1)
3 Sb 0.000 0.500 0.500 (multiplicity 2)
4 Te 0.500 0.500 0.000 (multiplicity 1)

Output
- Crystal system: tetragonal
- D(E_F): 0.675 states/eV per atom
- Total magnetization: 0.000 μB per atom
- Raw formation energy: 0.761 eV/atom

Entry from Alexandria via LeMat-Bulk: YAgB2Sb after structural relaxation (PBE).

Lattice parameters (Å, degrees): 4.480 4.480 5.902 90.00 90.00 90.00
Space group P4/mmm (No. 123)
Symmetry-distinct sites (fractional):
1 Y 0.000 0.000 0.000 (multiplicity 1)
2 Ag 0.500 0.500 0.000 (multiplicity 1)
3 B 0.000 0.500 0.500 (multiplicity 2)
4 Sb 0.000 0.000 0.500 (multiplicity 1)

Output
- Crystal system: tetragonal
- D(E_F): 0.605 states/eV per atom
- Total magnetization: 0.000 μB per atom
- Raw formation energy: 1.401 eV/atom

Entry from Alexandria via LeMat-Bulk: Sc2AgB2 after structural relaxation (PBE).

Lattice parameters (Å, degrees): 4.088 4.088 9.350 90.00 90.00 90.00
Space group I4/mmm (No. 139)
Symmetry-distinct sites (fractional):
1 Sc 0.000 0.500 0.250 (multiplicity 4)
2 Ag 0.000 0.000 0.000 (multiplicity 2)
3 B 0.000 0.000 0.415 (multiplicity 4)

Output
- Crystal system: tetragonal
- DFT formation energy: 0.219 eV per atom
- D(E_F): 0.655 states/eV per atom
- Total magnetization: 0.006 μB per atom